No. 1
DFT (GGA-PBEsol) results for crystalline Si3HgGe at its relaxed geometry.

**Fermi-level density of states**: 2.71 states/eV/f.u.
**ΔE_f (raw)**: 1.329 eV/atom

Unit cell a=4.943 b=4.943 c=4.943 alpha=90.00 beta=90.00 gamma=90.00
Fractional coordinates of all 5 atoms:
Si (0.000, 0.000, 0.500)
Si (0.000, 0.500, 0.000)
Si (0.500, 0.000, 0.000)
Hg (0.000, 0.000, 0.000)
Ge (0.500, 0.500, 0.500)

---

No. 2
DFT (GGA-PBEsol) results for crystalline Tc2HgPt at its relaxed geometry.

**Fermi-level density of states**: 3.58 states/eV/f.u.
**Formation energy from the elements**: 394 meV/atom

Unit cell a=3.791 b=3.791 c=4.301 alpha=90.00 beta=90.00 gamma=90.00
Fractional coordinates of all 4 atoms:
Tc (0.000, 0.500, 0.000)
Tc (0.500, 0.000, 0.000)
Hg (0.000, 0.000, 0.500)
Pt (0.500, 0.500, 0.500)

---

No. 3
DFT (GGA-PBEsol) results for crystalline TmCo3B2 at its relaxed geometry.

**Fermi-level density of states**: 3.61 states/eV/f.u.
**Formation energy from the elements**: -606 meV/atom

Unit cell a=4.903 b=4.903 c=2.976 alpha=90.00 beta=90.00 gamma=120.00
Fractional coordinates of all 6 atoms:
Tm (0.000, 0.000, 0.000)
Co (0.000, 0.500, 0.500)
Co (0.500, 0.000, 0.500)
Co (0.500, 0.500, 0.500)
B (0.333, 0.667, 0.000)
B (0.667, 0.333, 0.000)

---

No. 4
DFT (GGA-PBEsol) results for crystalline GdAlCu at its relaxed geometry.

**Fermi-level density of states**: 2.03 states/eV/f.u.
**Formation energy from the elements**: -435 meV/atom

Unit cell a=6.943 b=6.943 c=4.036 alpha=90.00 beta=90.00 gamma=120.00
Fractional coordinates of all 9 atoms:
Gd (0.000, 0.583, 0.000)
Gd (0.417, 0.417, 0.000)
Gd (0.583, 0.000, 0.000)
Al (0.000, 0.235, 0.500)
Al (0.235, 0.000, 0.500)
Al (0.765, 0.765, 0.500)
Cu (0.000, 0.000, 0.000)
Cu (0.333, 0.667, 0.500)
Cu (0.667, 0.333, 0.500)

---

No. 5
DFT (GGA-PBEsol) results for crystalline Nd3CoGe2 at its relaxed geometry.

**Fermi-level density of states**: 3.12 states/eV/f.u.
**Formation energy from the elements**: -682 meV/atom

Unit cell a=11.785 b=4.185 c=11.312 alpha=90.00 beta=90.00 gamma=90.00
Fractional coordinates of all 24 atoms:
Nd (0.054, 0.250, 0.128)
Nd (0.119, 0.750, 0.556)
Nd (0.223, 0.250, 0.797)
Nd (0.277, 0.750, 0.297)
Nd (0.381, 0.250, 0.056)
Nd (0.446, 0.750, 0.628)
Nd (0.554, 0.250, 0.372)
Nd (0.619, 0.750, 0.944)
Nd (0.723, 0.250, 0.703)
Nd (0.777, 0.750, 0.203)
Nd (0.881, 0.250, 0.444)
Nd (0.946, 0.750, 0.872)
Co (0.131, 0.250, 0.366)
Co (0.369, 0.750, 0.866)
Co (0.631, 0.250, 0.134)
Co (0.869, 0.750, 0.634)
Ge (0.023, 0.750, 0.315)
Ge (0.196, 0.750, 0.995)
Ge (0.304, 0.250, 0.495)
Ge (0.477, 0.250, 0.815)
Ge (0.523, 0.750, 0.185)
Ge (0.696, 0.750, 0.505)
Ge (0.804, 0.250, 0.005)
Ge (0.977, 0.250, 0.685)

---

No. 6
DFT (GGA-PBEsol) results for crystalline K2As at its relaxed geometry.

**Fermi-level density of states**: 1.32 states/eV/f.u.
**Formation energy from the elements**: -221 meV/atom

Unit cell a=5.380 b=5.380 c=3.307 alpha=90.00 beta=90.00 gamma=120.00
Fractional coordinates of all 3 atoms:
K (0.333, 0.667, 0.005)
K (0.667, 0.333, 0.995)
As (0.000, 0.000, 0.500)

---

No. 7
DFT (GGA-PBEsol) results for crystalline Li2MoOs at its relaxed geometry.

**Fermi-level density of states**: 2.65 states/eV/f.u.
**Polymorph energy (0 for the lowest one)**: 0 meV per atom
**Formation energy from the elements**: 254 meV/atom

Unit cell a=4.214 b=4.214 c=4.214 alpha=60.00 beta=60.00 gamma=60.00
Fractional coordinates of all 4 atoms:
Li (0.000, 0.000, 0.000)
Li (0.250, 0.250, 0.250)
Mo (0.500, 0.500, 0.500)
Os (0.750, 0.750, 0.750)

---

No. 8
DFT (GGA-PBEsol) results for crystalline Y3Lu at its relaxed geometry.

**Fermi-level density of states**: 7.13 states/eV/f.u.
**Formation energy from the elements**: 5 meV/atom

Unit cell a=7.109 b=7.109 c=5.522 alpha=90.00 beta=90.00 gamma=120.00
Fractional coordinates of all 8 atoms:
Y (0.168, 0.335, 0.250)
Y (0.168, 0.832, 0.250)
Y (0.335, 0.168, 0.750)
Y (0.665, 0.832, 0.250)
Y (0.832, 0.168, 0.750)
Y (0.832, 0.665, 0.750)
Lu (0.333, 0.667, 0.750)
Lu (0.667, 0.333, 0.250)

---

No. 9
DFT (GGA-PBEsol) results for crystalline Ta4BeMo at its relaxed geometry.

**Fermi-level density of states**: 7.12 states/eV/f.u.
**Formation energy from the elements**: 708 meV/atom

Unit cell a=5.298 b=5.298 c=5.298 alpha=60.00 beta=60.00 gamma=60.00
Fractional coordinates of all 6 atoms:
Ta (0.124, 0.124, 0.124)
Ta (0.124, 0.124, 0.628)
Ta (0.124, 0.628, 0.124)
Ta (0.628, 0.124, 0.124)
Be (0.500, 0.500, 0.500)
Mo (0.750, 0.750, 0.750)

---

No. 10
DFT (GGA-PBEsol) results for crystalline Re2Sb at its relaxed geometry.

**Fermi-level density of states**: 2.83 states/eV/f.u.
**Polymorph energy (0 for the lowest one)**: 460 meV per atom
**ΔE_f (raw)**: 0.798 eV/atom

Unit cell a=5.300 b=5.300 c=5.300 alpha=60.00 beta=60.00 gamma=60.00
Fractional coordinates of all 6 atoms:
Re (0.000, 0.000, 0.000)
Re (0.000, 0.000, 0.500)
Re (0.000, 0.500, 0.000)
Re (0.500, 0.000, 0.000)
Sb (0.375, 0.375, 0.375)
Sb (0.625, 0.625, 0.625)

---

No. 11
DFT (GGA-PBEsol) results for crystalline BeSnHI2 at its relaxed geometry.

**Fermi-level density of states**: 2.42 states/eV/f.u.
**Total energy**: -12.4 eV for the cell shown

Unit cell a=5.964 b=5.964 c=3.922 alpha=90.00 beta=90.00 gamma=90.00
Fractional coordinates of all 5 atoms:
Be (0.000, 0.000, 0.000)
Sn (0.500, 0.500, 0.500)
H (0.500, 0.500, 0.000)
I (0.000, 0.500, 0.500)
I (0.500, 0.000, 0.500)

---

No. 12
DFT (GGA-PBEsol) results for crystalline DyWC2 at its relaxed geometry.

**Fermi-level density of states**: 1.16 states/eV/f.u.
**Formation energy from the elements**: -358 meV/atom

Unit cell a=5.670 b=3.347 c=10.701 alpha=90.00 beta=90.00 gamma=90.00
Fractional coordinates of all 16 atoms:
Dy (0.085, 0.250, 0.137)
Dy (0.415, 0.750, 0.637)
Dy (0.585, 0.250, 0.363)
Dy (0.915, 0.750, 0.863)
W (0.095, 0.750, 0.390)
W (0.405, 0.250, 0.890)
W (0.595, 0.750, 0.110)
W (0.905, 0.250, 0.610)
C (0.161, 0.250, 0.752)
C (0.225, 0.250, 0.485)
C (0.275, 0.750, 0.985)
C (0.339, 0.750, 0.252)
C (0.661, 0.250, 0.748)
C (0.725, 0.250, 0.015)
C (0.775, 0.750, 0.515)
C (0.839, 0.750, 0.248)

---

No. 13
DFT (GGA-PBEsol) results for crystalline TaTcIr2 at its relaxed geometry.

**Fermi-level density of states**: 5.30 states/eV/f.u.
**Polymorph energy (0 for the lowest one)**: 522 meV per atom
**Formation energy from the elements**: 4 meV/atom

Unit cell a=4.397 b=4.397 c=4.397 alpha=60.00 beta=60.00 gamma=60.00
Fractional coordinates of all 4 atoms:
Ta (0.000, 0.000, 0.000)
Tc (0.750, 0.750, 0.750)
Ir (0.250, 0.250, 0.250)
Ir (0.500, 0.500, 0.500)

---

No. 14
DFT (GGA-PBEsol) results for crystalline CsNb2Si at its relaxed geometry.

**Fermi-level density of states**: 3.76 states/eV/f.u.
**ΔE_f (raw)**: 1.178 eV/atom

Unit cell a=9.777 b=9.777 c=9.777 alpha=151.62 beta=151.62 gamma=40.57
Fractional coordinates of all 8 atoms:
Cs (0.000, 0.000, 0.000)
Cs (0.750, 0.250, 0.500)
Nb (0.279, 0.625, 0.154)
Nb (0.375, 0.529, 0.654)
Nb (0.471, 0.125, 0.846)
Nb (0.875, 0.721, 0.346)
Si (0.250, 0.750, 0.500)
Si (0.500, 0.500, 0.000)

---

No. 15
DFT (GGA-PBEsol) results for crystalline LiMnF3 at its relaxed geometry.

**Fermi-level density of states**: 0.00 states/eV/f.u.
**Polymorph energy (0 for the lowest one)**: 0 meV per atom
**ΔE_f (raw)**: -2.519 eV/atom

Unit cell a=5.779 b=5.779 c=11.491 alpha=90.00 beta=90.00 gamma=120.00
Fractional coordinates of all 30 atoms:
Li (0.000, 0.337, 0.000)
Li (0.000, 0.663, 0.500)
Li (0.337, 0.000, 0.000)
Li (0.337, 0.337, 0.500)
Li (0.663, 0.000, 0.500)
Li (0.663, 0.663, 0.000)
Mn (0.000, 0.000, 0.289)
Mn (0.000, 0.000, 0.789)
Mn (0.333, 0.667, 0.221)
Mn (0.333, 0.667, 0.721)
Mn (0.667, 0.333, 0.221)
Mn (0.667, 0.333, 0.721)
F (0.000, 0.000, 0.467)
F (0.000, 0.000, 0.967)
F (0.000, 0.288, 0.173)
F (0.000, 0.378, 0.829)
F (0.000, 0.622, 0.329)
F (0.000, 0.712, 0.673)
F (0.288, 0.000, 0.173)
F (0.288, 0.288, 0.673)
F (0.333, 0.667, 0.032)
F (0.333, 0.667, 0.532)
F (0.378, 0.000, 0.829)
F (0.378, 0.378, 0.329)
F (0.622, 0.000, 0.329)
F (0.622, 0.622, 0.829)
F (0.667, 0.333, 0.032)
F (0.667, 0.333, 0.532)
F (0.712, 0.000, 0.673)
F (0.712, 0.712, 0.173)

---

No. 16
DFT (GGA-PBEsol) results for crystalline HgC3 at its relaxed geometry.

**Fermi-level density of states**: 0.54 states/eV/f.u.
**Polymorph energy (0 for the lowest one)**: 1895 meV per atom
**Formation energy from the elements**: 2630 meV/atom

Unit cell a=3.199 b=3.199 c=4.594 alpha=90.00 beta=90.00 gamma=90.00
Fractional coordinates of all 4 atoms:
Hg (0.000, 0.000, 0.000)
C (0.000, 0.000, 0.500)
C (0.500, 0.500, 0.357)
C (0.500, 0.500, 0.643)

---

No. 17
DFT (GGA-PBEsol) results for crystalline DySn3 at its relaxed geometry.

**Fermi-level density of states**: 1.79 states/eV/f.u.
**Formation energy from the elements**: -423 meV/atom

Unit cell a=4.340 b=11.084 c=11.084 alpha=22.70 beta=90.00 gamma=90.00
Fractional coordinates of all 8 atoms:
Dy (0.000, 0.000, 0.000)
Dy (0.500, 0.273, 0.273)
Sn (0.000, 0.384, 0.384)
Sn (0.000, 0.614, 0.614)
Sn (0.000, 0.748, 0.748)
Sn (0.500, 0.124, 0.124)
Sn (0.500, 0.507, 0.507)
Sn (0.500, 0.884, 0.884)

---

No. 18
DFT (GGA-PBEsol) results for crystalline CaTeWI2 at its relaxed geometry.

**Fermi-level density of states**: 7.08 states/eV/f.u.
**ΔE_f (raw)**: 0.957 eV/atom

Unit cell a=5.678 b=5.678 c=6.024 alpha=90.00 beta=90.00 gamma=90.00
Fractional coordinates of all 5 atoms:
Ca (0.000, 0.000, 0.000)
Te (0.000, 0.000, 0.500)
W (0.500, 0.500, 0.500)
I (0.000, 0.500, 0.000)
I (0.500, 0.000, 0.000)

---

No. 19
DFT (GGA-PBEsol) results for crystalline K2CdSe at its relaxed geometry.

**ΔE_f (raw)**: -0.295 eV/atom

Unit cell a=10.671 b=10.671 c=10.671 alpha=147.63 beta=147.63 gamma=46.44
Fractional coordinates of all 8 atoms:
K (0.070, 0.625, 0.945)
K (0.375, 0.320, 0.445)
K (0.680, 0.125, 0.055)
K (0.875, 0.930, 0.555)
Cd (0.250, 0.750, 0.500)
Cd (0.500, 0.500, 0.000)
Se (0.000, 0.000, 0.000)
Se (0.750, 0.250, 0.500)

---

No. 20
DFT (GGA-PBEsol) results for crystalline ZnCu2Au at its relaxed geometry.

**Fermi-level density of states**: 1.18 states/eV/f.u.
**Formation energy from the elements**: -118 meV/atom

Unit cell a=4.574 b=4.574 c=4.574 alpha=131.29 beta=130.81 gamma=71.74
Fractional coordinates of all 4 atoms:
Zn (0.000, 0.000, 0.000)
Cu (0.249, 0.749, 0.500)
Cu (0.751, 0.251, 0.500)
Au (0.500, 0.500, 0.000)

---

No. 21
DFT (GGA-PBEsol) results for crystalline MgAg at its relaxed geometry.

**Fermi-level density of states**: 0.63 states/eV/f.u.
**Formation energy from the elements**: -177 meV/atom

Unit cell a=9.404 b=8.125 c=5.706 alpha=90.00 beta=90.00 gamma=90.00
Fractional coordinates of all 24 atoms:
Mg (0.118, 0.056, 0.250)
Mg (0.118, 0.444, 0.750)
Mg (0.346, 0.611, 0.250)
Mg (0.346, 0.889, 0.750)
Mg (0.377, 0.250, 0.000)
Mg (0.377, 0.250, 0.500)
Mg (0.623, 0.750, 0.000)
Mg (0.623, 0.750, 0.500)
Mg (0.654, 0.111, 0.250)
Mg (0.654, 0.389, 0.750)
Mg (0.882, 0.556, 0.250)
Mg (0.882, 0.944, 0.750)
Ag (0.109, 0.750, 0.000)
Ag (0.109, 0.750, 0.500)
Ag (0.133, 0.109, 0.750)
Ag (0.133, 0.391, 0.250)
Ag (0.399, 0.558, 0.750)
Ag (0.399, 0.942, 0.250)
Ag (0.601, 0.058, 0.750)
Ag (0.601, 0.442, 0.250)
Ag (0.867, 0.609, 0.750)
Ag (0.867, 0.891, 0.250)
Ag (0.891, 0.250, 0.000)
Ag (0.891, 0.250, 0.500)

---

No. 22
DFT (GGA-PBEsol) results for crystalline CdHg2Br at its relaxed geometry.

**Fermi-level density of states**: 1.07 states/eV/f.u.
**Polymorph energy (0 for the lowest one)**: 20 meV per atom
**ΔE_f (raw)**: -0.138 eV/atom

Unit cell a=3.556 b=3.556 c=8.356 alpha=90.00 beta=90.00 gamma=107.98
Fractional coordinates of all 4 atoms:
Cd (0.000, 0.000, 0.000)
Hg (0.000, 0.000, 0.516)
Hg (0.500, 0.500, 0.765)
Br (0.500, 0.500, 0.221)

---

No. 23
DFT (GGA-PBEsol) results for crystalline LiHgSb2 at its relaxed geometry.

**Fermi-level density of states**: 2.71 states/eV/f.u.
**ΔE_f (raw)**: -0.045 eV/atom

Unit cell a=6.440 b=6.440 c=6.440 alpha=102.94 beta=102.94 gamma=123.51
Fractional coordinates of all 8 atoms:
Li (0.000, 0.000, 0.000)
Li (0.750, 0.250, 0.500)
Hg (0.250, 0.750, 0.500)
Hg (0.500, 0.500, 0.000)
Sb (0.141, 0.125, 0.516)
Sb (0.375, 0.859, 0.984)
Sb (0.609, 0.625, 0.484)
Sb (0.875, 0.391, 0.016)

---

No. 24
DFT (GGA-PBEsol) results for crystalline SiRu at its relaxed geometry.

**Fermi-level density of states**: 0.33 states/eV/f.u.
**ΔE_f (raw)**: -0.701 eV/atom

Unit cell a=4.686 b=4.686 c=4.686 alpha=90.00 beta=90.00 gamma=90.00
Fractional coordinates of all 8 atoms:
Si (0.162, 0.338, 0.662)
Si (0.338, 0.662, 0.162)
Si (0.662, 0.162, 0.338)
Si (0.838, 0.838, 0.838)
Ru (0.131, 0.131, 0.131)
Ru (0.369, 0.869, 0.631)
Ru (0.631, 0.369, 0.869)
Ru (0.869, 0.631, 0.369)